A plane-wave DFT calculation with PBE was carried out for a relaxed Ac2AgBiO6 crystal.

```
Ac2AgBiO6
1.0
-5.820 -1.715 0.315
1.668 -5.702 -0.230
2.173 3.550 4.590
Ac Ag Bi O
2 1 1 6
direct
0.224 0.249 0.497 Ac
0.776 0.751 0.503 Ac
0.500 0.000 0.000 Ag
0.000 0.500 0.000 Bi
0.341 0.714 0.428 O
0.154 0.172 0.838 O
0.846 0.334 0.162 O
0.154 0.666 0.838 O
0.846 0.828 0.162 O
0.659 0.286 0.572 O
```

Crystal system = monoclinic
Formation energy (no corrections) = -1.998 eV per atom
Size of the total moment = 0.00 μB/f.u.
Electronic total energy = -64.7 eV per formula unit